(1)
Computed, not measured: a relaxed structure of BaInBiPb at the PBE level of DFT.

Geometry as POSCAR:
```
BaInBiPb
1.0
6.9819 -2.2517 0.0000
6.9819 2.2517 0.0000
-2.1008 0.0000 5.0198
Ba In Bi Pb
1 1 1 1
Direct
0.0000 0.0000 0.0000 Ba
0.7560 0.7560 0.2552 In
0.4133 0.4133 0.4140 Bi
0.6550 0.6550 0.6552 Pb
```

Values from the calculation:
Uncorrected energy = -3.381 eV/atom
Fermi-level density of states = 2.58 states/eV/f.u.


(2)
Computed, not measured: a relaxed structure of GdCuAu at the PBE level of DFT.

Geometry as POSCAR:
```
GdCuAu
1.0
0.0000 3.2199 3.2199
3.2199 0.0000 3.2199
3.2199 3.2199 0.0000
Gd Cu Au
1 1 1
Direct
0.0000 0.0000 0.0000 Gd
0.7500 0.7500 0.7500 Cu
0.5000 0.5000 0.5000 Au
```

Values from the calculation:
Fermi-level density of states = 2.37 states/eV/f.u.
Energy above the most stable polymorph in this dataset = 16.4 kJ per mole of atoms


> The highest Fermi-level density of states belongs to which entry?

BaInBiPb